[1]
The following is a PBE calculation of BeNi3 after structural relaxation, from OQMD.

Output
Space-group type: No. 139
Electronic total energy: -0.1937 Ha/atom
Calculated volume: 40.0 Å³/f.u.

Lattice parameters (Å, degrees): 3.398 3.398 6.928 90.00 90.00 90.00
Fractional coordinates of all 8 atoms:
Be: 0.000 0.000 0.000
Be: 0.500 0.500 0.500
Ni: 0.000 0.000 0.500
Ni: 0.000 0.500 0.250
Ni: 0.000 0.500 0.750
Ni: 0.500 0.000 0.250
Ni: 0.500 0.000 0.750
Ni: 0.500 0.500 0.000


[2]
The following is a PBE calculation of Be9Ni7 after structural relaxation, from OQMD.

Output
Space-group type: No. 221
Electronic total energy: -0.1820 Ha/atom
Calculated volume: 139.9 Å³/f.u.

Lattice parameters (Å, degrees): 5.192 5.192 5.192 90.00 90.00 90.00
Fractional coordinates of all 16 atoms:
Be: 0.000 0.000 0.000
Be: 0.249 0.249 0.249
Be: 0.249 0.249 0.751
Be: 0.249 0.751 0.249
Be: 0.249 0.751 0.751
Be: 0.751 0.249 0.249
Be: 0.751 0.249 0.751
Be: 0.751 0.751 0.249
Be: 0.751 0.751 0.751
Ni: 0.000 0.000 0.500
Ni: 0.000 0.500 0.000
Ni: 0.000 0.500 0.500
Ni: 0.500 0.000 0.000
Ni: 0.500 0.000 0.500
Ni: 0.500 0.500 0.000
Ni: 0.500 0.500 0.500


[3]
The following is a PBE calculation of BeNi3 after structural relaxation, from OQMD.

Output
Space-group type: No. 221
Electronic total energy: -0.1939 Ha/atom
Calculated volume: 40.0 Å³/f.u.

Lattice parameters (Å, degrees): 3.419 3.419 3.419 90.00 90.00 90.00
Fractional coordinates of all 4 atoms:
Be: 0.000 0.000 0.000
Ni: 0.000 0.500 0.500
Ni: 0.500 0.000 0.500
Ni: 0.500 0.500 0.000


What did the first record say?
The following is a PBE calculation of BeNi3 after structural relaxation, from OQMD.

Output
Space-group type: No. 139
Electronic total energy: -0.1937 Ha/atom
Calculated volume: 40.0 Å³/f.u.

Lattice parameters (Å, degrees): 3.398 3.398 6.928 90.00 90.00 90.00
Fractional coordinates of all 8 atoms:
Be: 0.000 0.000 0.000
Be: 0.500 0.500 0.500
Ni: 0.000 0.000 0.500
Ni: 0.000 0.500 0.250
Ni: 0.000 0.500 0.750
Ni: 0.500 0.000 0.250
Ni: 0.500 0.000 0.750
Ni: 0.500 0.500 0.000


- electronic total energy of number 2 (Be9Ni7)?
  -0.1820 Ha/atom


- The highest electronic total energy belongs to which entry?
  Be9Ni7